(one)
First-principles (PBE-GGA) data for an optimized crystal structure of TcSe2SN, as listed in the Alexandria database.

abc: 4.980 4.980 3.710
angles: 90.00 90.00 90.00
Atoms (fractional coordinates):
Tc (0.000, 0.000, 0.000)
Se (0.000, 0.500, 0.000)
Se (0.500, 0.000, 0.000)
S (0.500, 0.500, 0.500)
N (0.000, 0.000, 0.500)

Space-group type: P4/mmm (123)
N(E_F), states/eV per cell: 3.82
Crystal system: tetragonal

---

(two)
First-principles (PBE-GGA) data for an optimized crystal structure of TcSe2SN, as listed in the Alexandria database.

abc: 4.944 4.944 3.228
angles: 90.00 90.00 90.00
Atoms (fractional coordinates):
Tc (0.000, 0.000, 0.000)
Se (0.000, 0.500, 0.500)
Se (0.500, 0.000, 0.500)
S (0.500, 0.500, 0.500)
N (0.500, 0.500, 0.000)

Space-group type: P4/mmm (123)
N(E_F), states/eV per cell: 4.71
Crystal system: tetragonal

---

The structure with the greatest stability is (one).

---

(one)
First-principles (PBE-GGA) data for an optimized crystal structure of Te2SeSN, as listed in the Alexandria database.

abc: 5.658 5.658 3.657
angles: 90.00 90.00 90.00
Atoms (fractional coordinates):
Te (0.000, 0.500, 0.000)
Te (0.500, 0.000, 0.000)
Se (0.000, 0.000, 0.000)
S (0.500, 0.500, 0.500)
N (0.000, 0.000, 0.500)

Space-group type: P4/mmm (123)
N(E_F), states/eV per cell: 5.60
Crystal system: tetragonal

---

(two)
First-principles (PBE-GGA) data for an optimized crystal structure of Te2SeSN, as listed in the Alexandria database.

abc: 5.953 5.953 3.229
angles: 90.00 90.00 90.00
Atoms (fractional coordinates):
Te (0.000, 0.500, 0.000)
Te (0.500, 0.000, 0.000)
Se (0.000, 0.000, 0.500)
S (0.500, 0.500, 0.000)
N (0.500, 0.500, 0.500)

Space-group type: P4/mmm (123)
N(E_F), states/eV per cell: 2.32
Crystal system: tetragonal

---

The structure with the greatest stability is (two).